This record from Alexandria describes Pm2HoZn12Ni3 after structural relaxation. The functional is PBE.

a = 8.254 Å, b = 8.254 Å, c = 8.254 Å
α = 56.05°, β = 56.05°, γ = 56.05°
Fractional positions:
Pm 0.595 0.595 0.595
Pm 0.405 0.405 0.405
Ho 0.000 0.000 0.000
Zn 0.244 0.244 0.859
Zn 0.837 0.837 0.485
Zn 0.485 0.837 0.837
Zn 0.859 0.244 0.244
Zn 0.837 0.485 0.837
Zn 0.244 0.859 0.244
Zn 0.756 0.756 0.141
Zn 0.163 0.163 0.515
Zn 0.515 0.163 0.163
Zn 0.141 0.756 0.756
Zn 0.163 0.515 0.163
Zn 0.756 0.141 0.756
Ni 0.500 0.000 0.000
Ni 0.000 0.500 0.000
Ni 0.000 0.000 0.500

Summary:
ρ ... 6.5 g/cm3
VASP energy ... -2.50 eV/atom
Formation enthalpy at 0 K ... 0.10 eV per atom
Space group ... R-3m

This record from Alexandria describes NaLaZnN2 after structural relaxation. The functional is PBE.

a = 4.222 Å, b = 5.970 Å, c = 6.807 Å
α = 98.98°, β = 90.00°, γ = 90.00°
Fractional positions:
Na 0.479 0.000 0.250
Na 0.521 0.000 0.750
La 0.191 0.500 0.750
La 0.809 0.500 0.250
Zn 0.000 0.000 0.000
Zn 0.000 0.000 0.500
N 0.786 0.726 0.959
N 0.786 0.274 0.541
N 0.214 0.726 0.459
N 0.214 0.274 0.041

Summary:
ρ ... 5.0 g/cm3
VASP energy ... -5.27 eV/atom
Formation energy without anion corrections ... -0.4367 eV per atom
Space group ... P2/c

This record from Alexandria describes Th2Mg2BIr4 after structural relaxation. The functional is PBE.

a = 6.191 Å, b = 6.191 Å, c = 6.191 Å
α = 89.57°, β = 120.25°, γ = 120.25°
Fractional positions:
Th 0.000 0.709 0.709
Th 0.000 0.291 0.291
Mg 0.500 0.750 0.250
Mg 0.500 0.250 0.750
B 0.000 0.000 0.000
Ir 0.000 0.756 0.244
Ir 0.511 0.756 0.756
Ir 0.000 0.244 0.756
Ir 0.489 0.244 0.244

Summary:
ρ ... 12.8 g/cm3
VASP energy ... -7.00 eV/atom
Formation enthalpy at 0 K ... -0.31 eV per atom
Space group ... I4/mmm